{"formula": "TaNi2Pd8", "functional": "PBE", "state": "relaxed", "final_energy_ev_per_atom": -5.7344, "lattice_angstrom": [[-2.9701, -3.3963, 0.1165], [0.5617, -2.0039, 6.2743], [-5.4051, 3.0758, 2.2413]], "species": ["Ni", "Ni", "Pd", "Pd", "Pd", "Pd", "Pd", "Pd", "Pd", "Pd", "Ta"], "fractional_positions": [[0.4641, 0.1383, 0.1383], [0.5359, 0.8617, 0.8617], [0.8896, 0.2651, 0.2651], [0.7013, 0.5821, 0.5821], [0.2068, 0.3324, 0.8440], [0.1104, 0.7349, 0.7349], [0.2068, 0.8440, 0.3324], [0.7932, 0.6676, 0.1560], [0.2987, 0.4179, 0.4179], [0.7932, 0.1560, 0.6676], [0.0000, 0.0000, 0.0000]]}